Entry 1:
Density functional theory data (GGA-PBE) for a geometry-optimized SrCaBi2 structure.

* calculated volume: 134.8 Å³/f.u.
* calculated formation energy: -0.71 eV/atom
* magnetization: 0.00 μB/f.u.
* energy relative to the lowest polymorph listed for this composition: 0.020 eV per atom
* space group: P4/mmm
* total energy: -3.57 eV per atom

Cell: 4.0538 4.0538 8.2025 Å, 90.00 90.00 90.00°
Closest atoms and distances in Å follow each position.
Fractional coordinates of all 4 atoms:
Sr (0.0000, 0.0000, 0.0000)  8 Bi 3.59
Ca (0.0000, 0.0000, 0.5000)  8 Bi 3.46
Bi (0.5000, 0.5000, 0.2642)  4 Ca 3.46, 4 Sr 3.59, 1 Bi 3.87
Bi (0.5000, 0.5000, 0.7358)  4 Ca 3.46, 4 Sr 3.59, 1 Bi 3.87


Entry 2:
Density functional theory data (GGA-PBE) for a geometry-optimized SrCaBi2 structure.

* calculated volume: 145.6 Å³/f.u.
* calculated formation energy: -0.58 eV/atom
* magnetization: 0.00 μB/f.u.
* energy relative to the lowest polymorph listed for this composition: 0.146 eV per atom
* space group: Amm2
* total energy: -3.44 eV per atom

Cell: 3.7492 8.2230 9.4475 Å, 90.00 90.00 90.00°
Closest atoms and distances in Å follow each position.
Fractional coordinates of all 8 atoms:
Sr (0.0000, 0.0000, 0.0000)  8 Bi 3.65, 2 Sr 3.75
Sr (0.0000, 0.5000, 0.5000)  8 Bi 3.65, 2 Sr 3.75
Ca (0.5000, 0.0000, 0.5081)  4 Bi 3.13-3.14
Ca (0.5000, 0.5000, 0.0081)  4 Bi 3.13-3.14
Bi (0.5000, 0.2454, 0.2540)  2 Ca 3.13-3.14
Bi (0.5000, 0.2546, 0.7540)  2 Ca 3.13-3.14
Bi (0.5000, 0.7454, 0.7540)  2 Ca 3.13-3.14
Bi (0.5000, 0.7546, 0.2540)  2 Ca 3.13-3.14


Entry 3:
Density functional theory data (GGA-PBE) for a geometry-optimized SrCa2Bi structure.

* calculated volume: 143.5 Å³/f.u.
* calculated formation energy: -0.45 eV/atom
* magnetization: 0.00 μB/f.u.
* space group: P4/mmm
* total energy: -2.84 eV per atom

Cell: 5.1742 5.1742 5.3608 Å, 90.00 90.00 90.00°
Closest atoms and distances in Å follow each position.
Fractional coordinates of all 4 atoms:
Sr (0.0000, 0.0000, 0.0000)  4 Bi 3.66, 8 Ca 3.73
Ca (0.0000, 0.5000, 0.5000)  4 Ca 3.66, 4 Bi 3.73, 4 Sr 3.73
Ca (0.5000, 0.0000, 0.5000)  4 Ca 3.66, 4 Bi 3.73, 4 Sr 3.73
Bi (0.5000, 0.5000, 0.0000)  4 Sr 3.66, 8 Ca 3.73


Entry 4:
Density functional theory data (GGA-PBE) for a geometry-optimized SrCaBi structure.

* calculated volume: 117.5 Å³/f.u.
* calculated formation energy: -0.56 eV/atom
* magnetization: 0.85 μB/f.u.
* energy relative to the lowest polymorph listed for this composition: 0.180 eV per atom
* space group: P3m1
* total energy: -3.08 eV per atom

Cell: 5.3064 5.3064 4.8188 Å, 90.00 90.00 120.00°
Closest atoms and distances in Å follow each position.
Fractional coordinates of all 3 atoms:
Sr (0.0000, 0.0000, 0.0000)  6 Bi 3.87-3.92, 6 Ca 3.89-3.90
Ca (0.6667, 0.3333, 0.5013)  3 Bi 3.06
Bi (0.3333, 0.6667, 0.4914)  3 Ca 3.06


Entry 5:
Density functional theory data (GGA-PBE) for a geometry-optimized Sr5Ca2Bi5 structure.

* calculated volume: 492.0 Å³/f.u.
* calculated formation energy: -0.82 eV/atom
* magnetization: 0.00 μB/f.u.
* space group: C2/m
* total energy: -3.47 eV per atom

Cell: 8.5494 8.5494 13.7424 Å, 106.55 106.55 30.85°
Closest atoms and distances in Å follow each position.
Fractional coordinates of all 12 atoms:
Sr (0.0000, 0.0000, 0.0000)  4 Bi 3.39
Sr (0.1585, 0.1585, 0.5498)  5 Bi 3.38-3.57
Sr (0.2480, 0.2480, 0.8588)  5 Bi 3.35-3.54
Sr (0.7520, 0.7520, 0.1412)  5 Bi 3.35-3.54
Sr (0.8415, 0.8415, 0.4502)  5 Bi 3.38-3.57
Ca (0.4540, 0.4540, 0.7100)  4 Bi 3.16-3.25
Ca (0.5460, 0.5460, 0.2900)  4 Bi 3.16-3.25
Bi (0.1898, 0.1898, 0.3036)  2 Ca 3.25, 5 Sr 3.54-3.57
Bi (0.3887, 0.3887, 0.0916)  1 Ca 3.16, 5 Sr 3.35-3.41
Bi (0.5000, 0.5000, 0.5000)  2 Ca 3.19, 4 Sr 3.38
Bi (0.6113, 0.6113, 0.9084)  1 Ca 3.16, 5 Sr 3.35-3.41
Bi (0.8102, 0.8102, 0.6964)  2 Ca 3.25, 5 Sr 3.54-3.57


Entry 6:
Density functional theory data (GGA-PBE) for a geometry-optimized Sr2Ca2Bi structure.

* calculated volume: 219.0 Å³/f.u.
* calculated formation energy: 0.11 eV/atom
* magnetization: 0.00 μB/f.u.
* energy relative to the lowest polymorph listed for this composition: 0.355 eV per atom
* space group: I4/mmm
* total energy: -2.14 eV per atom

Cell: 4.7936 4.7936 19.0647 Å, 90.00 90.00 90.00°
Closest atoms and distances in Å follow each position.
Fractional coordinates of all 10 atoms:
Sr (0.0000, 0.5000, 0.2500)  4 Sr 3.39
Sr (0.0000, 0.5000, 0.7500)  4 Sr 3.39
Sr (0.5000, 0.0000, 0.2500)  4 Sr 3.39
Sr (0.5000, 0.0000, 0.7500)  4 Sr 3.39
Ca (0.0000, 0.0000, 0.0831)  1 Ca 3.17
Ca (0.0000, 0.0000, 0.9169)  1 Ca 3.17
Ca (0.5000, 0.5000, 0.4169)  1 Ca 3.17
Ca (0.5000, 0.5000, 0.5831)  1 Ca 3.17
Bi (0.0000, 0.0000, 0.5000)  8 Ca 3.74
Bi (0.5000, 0.5000, 0.0000)  8 Ca 3.74


Entry 7:
Density functional theory data (GGA-PBE) for a geometry-optimized SrCa2Bi structure.

* calculated volume: 169.2 Å³/f.u.
* calculated formation energy: -0.36 eV/atom
* magnetization: 0.00 μB/f.u.
* space group: R3m
* total energy: -2.75 eV per atom

Cell: 5.2573 5.2573 21.2041 Å, 90.00 90.00 120.00°
Closest atoms and distances in Å follow each position.
Fractional coordinates of all 12 atoms:
Sr (0.0000, 0.0000, 0.0000)  1 Bi 3.66, 6 Ca 3.83-3.85
Sr (0.3333, 0.6667, 0.6667)  1 Bi 3.66, 6 Ca 3.83-3.85
Sr (0.6667, 0.3333, 0.3333)  1 Bi 3.66, 6 Ca 3.83-3.85
Ca (0.0000, 0.0000, 0.2215)  3 Bi 3.30
Ca (0.0000, 0.0000, 0.4438)  3 Bi 3.22
Ca (0.3333, 0.6667, 0.1104)  3 Bi 3.22
Ca (0.3333, 0.6667, 0.8882)  3 Bi 3.30
Ca (0.6667, 0.3333, 0.5548)  3 Bi 3.30
Ca (0.6667, 0.3333, 0.7771)  3 Bi 3.22
Bi (0.0000, 0.0000, 0.8273)  6 Ca 3.22-3.30
Bi (0.3333, 0.6667, 0.4939)  6 Ca 3.22-3.30
Bi (0.6667, 0.3333, 0.1606)  6 Ca 3.22-3.30


Entry 8:
Density functional theory data (GGA-PBE) for a geometry-optimized Sr2CaBi structure.

* calculated volume: 182.1 Å³/f.u.
* calculated formation energy: 0.04 eV/atom
* magnetization: 0.00 μB/f.u.
* space group: R-3m
* total energy: -2.27 eV per atom

Cell: 3.9754 3.9754 39.9175 Å, 90.00 90.00 120.00°
Closest atoms and distances in Å follow each position.
Fractional coordinates of all 12 atoms:
Sr (0.0000, 0.0000, 0.0836)  1 Bi 3.34
Sr (0.0000, 0.0000, 0.9164)  1 Bi 3.34
Sr (0.3333, 0.6667, 0.5830)  1 Bi 3.34
Sr (0.3333, 0.6667, 0.7503)  1 Bi 3.34
Sr (0.6667, 0.3333, 0.2497)  1 Bi 3.34
Sr (0.6667, 0.3333, 0.4170)  1 Bi 3.34
Ca (0.0000, 0.0000, 0.5000)  6 Ca 3.98, 6 Sr 4.03
Ca (0.3333, 0.6667, 0.1667)  6 Ca 3.98, 6 Sr 4.03
Ca (0.6667, 0.3333, 0.8333)  6 Ca 3.98, 6 Sr 4.03
Bi (0.0000, 0.0000, 0.0000)  2 Sr 3.34
Bi (0.3333, 0.6667, 0.6667)  2 Sr 3.34
Bi (0.6667, 0.3333, 0.3333)  2 Sr 3.34


Entry 9:
Density functional theory data (GGA-PBE) for a geometry-optimized SrCaBi structure.

* calculated volume: 110.1 Å³/f.u.
* calculated formation energy: -0.74 eV/atom
* magnetization: 0.98 μB/f.u.
* energy relative to the lowest polymorph listed for this composition: 0.000 eV per atom
* space group: P4/nmm
* total energy: -3.26 eV per atom

Cell: 4.9441 4.9441 9.0111 Å, 90.00 90.00 90.00°
Closest atoms and distances in Å follow each position.
Fractional coordinates of all 6 atoms:
Sr (0.2500, 0.2500, 0.1484)  5 Bi 3.52-3.60
Sr (0.7500, 0.7500, 0.8516)  5 Bi 3.52-3.60
Ca (0.2500, 0.7500, 0.5000)  4 Bi 3.40, 4 Ca 3.50
Ca (0.7500, 0.2500, 0.5000)  4 Bi 3.40, 4 Ca 3.50
Bi (0.2500, 0.2500, 0.7583)  4 Ca 3.40, 5 Sr 3.52-3.60
Bi (0.7500, 0.7500, 0.2417)  4 Ca 3.40, 5 Sr 3.52-3.60


Entry 10:
Density functional theory data (GGA-PBE) for a geometry-optimized SrCaBi structure.

* calculated volume: 140.8 Å³/f.u.
* calculated formation energy: -0.55 eV/atom
* magnetization: 0.00 μB/f.u.
* energy relative to the lowest polymorph listed for this composition: 0.191 eV per atom
* space group: C2/m
* total energy: -3.07 eV per atom

Cell: 11.3757 11.3757 10.0603 Å, 99.22 99.22 26.01°
Closest atoms and distances in Å follow each position.
Fractional coordinates of all 12 atoms:
Sr (0.0599, 0.0599, 0.3102)  2 Bi 3.42-3.43
Sr (0.3958, 0.3958, 0.1860)  4 Bi 3.66-3.69, 2 Ca 3.97-4.05
Sr (0.6042, 0.6042, 0.8140)  4 Bi 3.66-3.69, 2 Ca 3.97-4.05
Sr (0.9401, 0.9401, 0.6898)  2 Bi 3.42-3.43
Ca (0.2469, 0.2469, 0.3719)  4 Bi 3.25-3.35, 4 Ca 3.58-3.62
Ca (0.2581, 0.2581, 0.8791)  4 Bi 3.19-3.25
Ca (0.7419, 0.7419, 0.1209)  4 Bi 3.19-3.25
Ca (0.7531, 0.7531, 0.6281)  4 Bi 3.25-3.35, 4 Ca 3.58-3.62
Bi (0.1544, 0.1544, 0.0727)  4 Ca 3.20-3.35, 1 Sr 3.43
Bi (0.1613, 0.1613, 0.6062)  4 Ca 3.19-3.26, 1 Sr 3.42
Bi (0.8387, 0.8387, 0.3938)  4 Ca 3.19-3.26, 1 Sr 3.42
Bi (0.8456, 0.8456, 0.9273)  4 Ca 3.20-3.35, 1 Sr 3.43